Entry 1:
Sc3AgRu: PBEsol geometry, meta-GGA SCAN.

Geometry as POSCAR:
```
Sc3AgRu
1.0
4.920 0.000 0.000
0.000 4.920 0.000
0.000 0.000 4.920
Sc Ag Ru
3 1 1
Cartesian
0.000 0.000 2.460
0.000 2.460 0.000
2.460 0.000 0.000
0.000 0.000 0.000
2.460 2.460 2.460
```

Computed properties:
Magnetization in μB/f.u.: 0.00
N(E_F) in states/eV per cell: 4.08
Formation enthalpy at 0 K in meV/atom: 805
Energy in eV/atom: -20.976

Entry 2:
La2TiNiO6: PBEsol geometry, meta-GGA SCAN.

Geometry as POSCAR:
```
La2TiNiO6
1.0
5.495 0.000 0.000
0.000 5.534 0.000
-5.495 0.000 7.770
La Ti Ni O
4 2 2 12
Cartesian
-0.039 0.211 1.934
-2.787 2.556 5.819
2.787 2.978 1.951
0.040 5.324 5.835
2.748 0.000 0.000
0.000 2.767 3.885
-2.747 0.000 3.885
0.000 2.767 0.000
-4.297 1.148 7.461
-1.550 1.619 3.576
-3.882 3.969 7.448
-1.135 4.332 3.564
-2.328 0.091 5.866
0.419 2.677 1.981
-0.419 2.858 5.788
2.328 5.444 1.903
1.135 1.202 4.206
3.882 1.565 0.321
1.550 3.915 4.193
4.297 4.386 0.309
```

Computed properties:
Magnetization in μB/f.u.: 2.00
N(E_F) in states/eV per cell: 0.00
Energy in eV/atom: -18.848

Entry 3:
Ti2CoOs: PBEsol geometry, meta-GGA SCAN.

Geometry as POSCAR:
```
Ti2CoOs
1.0
6.021 0.000 0.000
0.000 6.021 0.000
0.000 0.000 6.021
Ti Co Os
8 4 4
Cartesian
1.505 1.505 1.505
1.505 1.505 4.515
1.505 4.515 1.505
1.505 4.515 4.515
4.515 1.505 1.505
4.515 1.505 4.515
4.515 4.515 1.505
4.515 4.515 4.515
0.000 0.000 0.000
0.000 3.010 3.010
3.010 0.000 3.010
3.010 3.010 0.000
0.000 0.000 3.010
0.000 3.010 0.000
3.010 0.000 0.000
3.010 3.010 3.010
```

Computed properties:
Magnetization in μB/f.u.: 1.02
N(E_F) in states/eV per cell: 8.10
Formation enthalpy at 0 K in meV/atom: -709
Energy in eV/atom: -31.020

Entry 4:
Cs3Cu2I5: PBEsol geometry, meta-GGA SCAN.

Geometry as POSCAR:
```
Cs3Cu2I5
1.0
10.033 0.000 0.000
0.000 11.511 0.000
0.000 0.000 14.113
Cs Cu I
12 8 20
Cartesian
0.533 0.139 2.488
0.533 5.617 2.488
0.890 8.634 6.360
4.126 2.878 13.417
4.483 5.894 9.544
4.483 11.373 9.544
5.550 0.139 4.568
5.550 5.617 4.568
5.906 8.634 0.696
9.143 2.878 7.752
9.499 5.894 11.625
9.499 11.373 11.625
2.138 8.634 0.662
2.347 8.634 12.348
2.670 2.878 5.291
2.879 2.878 7.718
7.154 8.634 6.395
7.363 8.634 8.821
7.686 2.878 1.765
7.895 2.878 13.451
0.374 2.878 13.946
1.603 8.634 9.981
1.945 0.694 6.374
1.945 5.062 6.374
2.055 2.878 10.109
2.961 8.634 3.053
3.072 6.449 13.430
3.072 10.818 13.430
3.413 2.878 2.925
4.643 8.634 6.890
5.390 2.878 7.223
6.620 8.634 11.188
6.961 0.694 0.683
6.961 5.062 0.683
7.071 2.878 11.060
7.978 8.634 4.004
8.088 6.449 7.739
8.088 10.818 7.739
8.429 2.878 4.132
9.659 8.634 0.166
```

Computed properties:
Magnetization in μB/f.u.: 0.00
N(E_F) in states/eV per cell: 0.00
Energy in eV/atom: -33.862

Which value of N(E_F) does entry 1 give?
4.08 states/eV per cell

Which formula does entry 4 have?
Cs3Cu2I5

Which formula does entry 3 have?
Ti2CoOs